Entry 1:
Computed, not measured: PuBeAlCu after structural relaxation at the GGA-PBE level of DFT.

a b c (Å): 4.5116 4.5116 4.5116
angles (deg): 60.00 60.00 60.00
Closest atoms and distances in Å follow each position.
Element x y z (fractional)
1 Pu 0.5000 0.5000 0.5000  4 Cu 2.76, 4 Be 2.76
2 Cu 0.2500 0.2500 0.2500  4 Al 2.76, 4 Pu 2.76
3 Al 0.0000 0.0000 0.0000  4 Be 2.76, 4 Cu 2.76
4 Be 0.7500 0.7500 0.7500  4 Pu 2.76, 4 Al 2.76

Density of states at the Fermi level ... 2.095 states/eV per atom
M_tot ... 5.187 μB per formula unit
Calculated formation energy ... 0.1 kJ per mole of atoms

Entry 2:
Computed, not measured: ScBeAl2Cu4 after structural relaxation at the GGA-PBE level of DFT.

a b c (Å): 4.1167 4.1167 7.8567
angles (deg): 74.81 74.81 60.00
Closest atoms and distances in Å follow each position.
Element x y z (fractional)
1 Al 0.7541 0.7541 0.7377  7 Cu 2.43-2.58
2 Be 0.5000 0.5000 0.5000  8 Cu 2.28-2.50
3 Sc 0.0000 0.0000 0.0000  8 Cu 2.79-2.97, 6 Al 3.08
4 Cu 0.3986 0.3986 0.8042  1 Be 2.28, 3 Al 2.43
5 Cu 0.6014 0.6014 0.1958  1 Be 2.28, 3 Al 2.43
6 Cu 0.8678 0.8678 0.3967  3 Be 2.50, 4 Al 2.55-2.58
7 Al 0.2459 0.2459 0.2623  7 Cu 2.43-2.58
8 Cu 0.1322 0.1322 0.6033  3 Be 2.50, 4 Al 2.55-2.58

Density of states at the Fermi level ... 0.463 states/eV per atom
M_tot ... 0.000 μB per formula unit
Calculated formation energy ... -20.7 kJ per mole of atoms

Entry 3:
Computed, not measured: Sm2Be3AlCu12 after structural relaxation at the GGA-PBE level of DFT.

a b c (Å): 7.3055 7.3055 7.3055
angles (deg): 62.04 62.04 62.04
Closest atoms and distances in Å follow each position.
Element x y z (fractional)
1 Cu 0.3923 0.8729 0.8729  1 Be 2.13
2 Cu 0.6654 0.0997 0.6654  2 Be 2.09
3 Be 0.0000 0.0000 0.5000  6 Cu 2.09-2.13
4 Cu 0.1271 0.6077 0.1271  1 Be 2.13
5 Cu 0.6654 0.6654 0.0997  2 Be 2.09
6 Sm 0.3976 0.3976 0.3976  6 Cu 2.83-2.85
7 Cu 0.6077 0.1271 0.1271  1 Be 2.13
8 Cu 0.8729 0.8729 0.3923  1 Be 2.13
9 Be 0.0000 0.5000 0.0000  6 Cu 2.09-2.13
10 Be 0.5000 0.0000 0.0000  6 Cu 2.09-2.13
11 Cu 0.3346 0.9003 0.3346  2 Be 2.09
12 Cu 0.3346 0.3346 0.9003  2 Be 2.09
13 Sm 0.6024 0.6024 0.6024  6 Cu 2.83-2.85
14 Cu 0.9003 0.3346 0.3346  2 Be 2.09
15 Cu 0.8729 0.3923 0.8729  1 Be 2.13
16 Al 0.0000 0.0000 0.0000  6 Cu 2.40
17 Cu 0.1271 0.1271 0.6077  1 Be 2.13
18 Cu 0.0997 0.6654 0.6654  2 Be 2.09

Density of states at the Fermi level ... 0.321 states/eV per atom
M_tot ... 0.000 μB per formula unit
Calculated formation energy ... 27.7 kJ per mole of atoms

Entry 4:
Computed, not measured: SmBeAl2Cu4 after structural relaxation at the GGA-PBE level of DFT.

a b c (Å): 4.0899 4.0899 8.7202
angles (deg): 76.44 76.44 60.00
Closest atoms and distances in Å follow each position.
Element x y z (fractional)
1 Al 0.7613 0.7613 0.7161  7 Cu 2.41-2.60
2 Cu 0.4095 0.4095 0.7716  1 Be 2.28, 3 Al 2.41
3 Be 0.5000 0.5000 0.5000  8 Cu 2.28-2.47
4 Sm 0.0000 0.0000 0.0000  6 Cu 3.04, 6 Al 3.35
5 Al 0.2387 0.2387 0.2839  7 Cu 2.41-2.60
6 Cu 0.5905 0.5905 0.2284  1 Be 2.28, 3 Al 2.41
7 Cu 0.1374 0.1374 0.5877  3 Be 2.47, 4 Al 2.55-2.60
8 Cu 0.8626 0.8626 0.4123  3 Be 2.47, 4 Al 2.55-2.60

Density of states at the Fermi level ... 0.387 states/eV per atom
M_tot ... 0.000 μB per formula unit
Calculated formation energy ... -22.3 kJ per mole of atoms

Entry 5:
Computed, not measured: SmBeAl3Cu after structural relaxation at the GGA-PBE level of DFT.

a b c (Å): 5.5720 6.4094 6.8043
angles (deg): 118.10 90.00 90.00
Closest atoms and distances in Å follow each position.
Element x y z (fractional)
1 Al 0.7500 0.8491 0.6981  1 Be 2.48, 1 Cu 2.49
2 Al 0.5000 0.2998 0.0000  2 Cu 2.47, 2 Be 2.55, 1 Al 2.57
3 Al 0.5000 0.7002 0.0000  2 Cu 2.47, 2 Be 2.55, 1 Al 2.57
4 Al 0.0000 0.2998 0.0000  2 Cu 2.47, 2 Be 2.55, 1 Al 2.57
5 Sm 0.2500 0.7168 0.4336  1 Cu 2.72, 2 Be 2.93
6 Cu 0.2500 0.9432 0.8865  5 Al 2.47-2.49, 1 Sm 2.72
7 Be 0.2500 0.3578 0.7156  5 Al 2.48-2.55
8 Be 0.7500 0.6422 0.2844  5 Al 2.48-2.55
9 Sm 0.7500 0.2832 0.5664  1 Cu 2.72, 2 Be 2.93
10 Al 0.2500 0.1509 0.3019  1 Be 2.48, 1 Cu 2.49
11 Al 0.0000 0.7002 0.0000  2 Cu 2.47, 2 Be 2.55, 1 Al 2.57
12 Cu 0.7500 0.0568 0.1135  5 Al 2.47-2.49, 1 Sm 2.72

Density of states at the Fermi level ... 0.399 states/eV per atom
M_tot ... 0.000 μB per formula unit
Calculated formation energy ... -4.2 kJ per mole of atoms

Entry 6:
Computed, not measured: Sm2BeAl3Cu12 after structural relaxation at the GGA-PBE level of DFT.

a b c (Å): 9.4689 9.4689 9.4689
angles (deg): 37.98 37.98 37.98
Closest atoms and distances in Å follow each position.
Element x y z (fractional)
1 Cu 0.1846 0.5792 0.5792  2 Al 2.42, 4 Cu 2.43-2.47
2 Al 0.0000 0.5000 0.0000  6 Cu 2.42-2.66
3 Cu 0.0706 0.6596 0.0706  1 Be 2.28, 4 Cu 2.47-2.53
4 Cu 0.6596 0.0706 0.0706  1 Be 2.28, 4 Cu 2.47-2.53
5 Sm 0.6538 0.6538 0.6538  6 Cu 2.96-3.02
6 Cu 0.0706 0.0706 0.6596  1 Be 2.28, 4 Cu 2.47-2.53
7 Cu 0.3404 0.9294 0.9294  1 Be 2.28, 4 Cu 2.47-2.53
8 Cu 0.4208 0.8154 0.4208  2 Al 2.42, 4 Cu 2.43-2.47
9 Cu 0.9294 0.9294 0.3404  1 Be 2.28, 4 Cu 2.47-2.53
10 Cu 0.5792 0.5792 0.1846  2 Al 2.42, 4 Cu 2.43-2.47
11 Cu 0.5792 0.1846 0.5792  2 Al 2.42, 4 Cu 2.43-2.47
12 Cu 0.9294 0.3404 0.9294  1 Be 2.28, 4 Cu 2.47-2.53
13 Sm 0.3462 0.3462 0.3462  6 Cu 2.96-3.02
14 Cu 0.8154 0.4208 0.4208  2 Al 2.42, 4 Cu 2.43-2.47
15 Al 0.5000 0.0000 0.0000  6 Cu 2.42-2.66
16 Al 0.0000 0.0000 0.5000  6 Cu 2.42-2.66
17 Cu 0.4208 0.4208 0.8154  2 Al 2.42, 4 Cu 2.43-2.47
18 Be 0.0000 0.0000 0.0000  6 Cu 2.28

Density of states at the Fermi level ... 0.543 states/eV per atom
M_tot ... 0.000 μB per formula unit
Calculated formation energy ... 8.8 kJ per mole of atoms

Entry 7:
Computed, not measured: SmBeAlCu after structural relaxation at the GGA-PBE level of DFT.

a b c (Å): 4.5626 4.5626 4.5626
angles (deg): 60.00 60.00 60.00
Closest atoms and distances in Å follow each position.
Element x y z (fractional)
1 Sm 0.0000 0.0000 0.0000  4 Be 2.79, 4 Cu 2.79
2 Al 0.5000 0.5000 0.5000  4 Be 2.79, 4 Cu 2.79
3 Cu 0.2500 0.2500 0.2500  4 Sm 2.79, 4 Al 2.79
4 Be 0.7500 0.7500 0.7500  4 Al 2.79, 4 Sm 2.79

Density of states at the Fermi level ... 0.371 states/eV per atom
M_tot ... 0.000 μB per formula unit
Calculated formation energy ... -16.4 kJ per mole of atoms

Entry 8:
Computed, not measured: TbBeAl2Cu4 after structural relaxation at the GGA-PBE level of DFT.

a b c (Å): 4.0789 4.0789 8.5983
angles (deg): 76.28 76.28 60.00
Closest atoms and distances in Å follow each position.
Element x y z (fractional)
1 Cu 0.4078 0.4078 0.7765  1 Be 2.29, 3 Al 2.40
2 Cu 0.1369 0.1369 0.5894  3 Be 2.47, 4 Al 2.55-2.59
3 Al 0.2397 0.2397 0.2810  7 Cu 2.40-2.59
4 Be 0.5000 0.5000 0.5000  8 Cu 2.29-2.47
5 Tb 0.0000 0.0000 0.0000  6 Cu 2.99, 6 Al 3.31
6 Al 0.7603 0.7603 0.7190  7 Cu 2.40-2.59
7 Cu 0.8631 0.8631 0.4106  3 Be 2.47, 4 Al 2.55-2.59
8 Cu 0.5922 0.5922 0.2235  1 Be 2.29, 3 Al 2.40

Density of states at the Fermi level ... 0.383 states/eV per atom
M_tot ... 0.000 μB per formula unit
Calculated formation energy ... -22.8 kJ per mole of atoms

Entry 9:
Computed, not measured: Tb2Be3AlCu12 after structural relaxation at the GGA-PBE level of DFT.

a b c (Å): 7.2539 7.2539 7.2539
angles (deg): 62.33 62.33 62.33
Closest atoms and distances in Å follow each position.
Element x y z (fractional)
1 Tb 0.3997 0.3997 0.3997  6 Cu 2.78-2.82
2 Cu 0.8692 0.8692 0.3954  1 Be 2.13
3 Cu 0.8692 0.3954 0.8692  1 Be 2.13
4 Be 0.5000 0.0000 0.0000  6 Cu 2.09-2.13
5 Cu 0.3357 0.8983 0.3357  2 Be 2.09
6 Cu 0.1017 0.6643 0.6643  2 Be 2.09
7 Al 0.0000 0.0000 0.0000  6 Cu 2.41
8 Be 0.0000 0.5000 0.0000  6 Cu 2.09-2.13
9 Tb 0.6003 0.6003 0.6003  6 Cu 2.78-2.82
10 Cu 0.8983 0.3357 0.3357  2 Be 2.09
11 Cu 0.6643 0.6643 0.1017  2 Be 2.09
12 Cu 0.3954 0.8692 0.8692  1 Be 2.13
13 Be 0.0000 0.0000 0.5000  6 Cu 2.09-2.13
14 Cu 0.6643 0.1017 0.6643  2 Be 2.09
15 Cu 0.3357 0.3357 0.8983  2 Be 2.09
16 Cu 0.6046 0.1308 0.1308  1 Be 2.13
17 Cu 0.1308 0.1308 0.6046  1 Be 2.13
18 Cu 0.1308 0.6046 0.1308  1 Be 2.13

Density of states at the Fermi level ... 0.279 states/eV per atom
M_tot ... 0.000 μB per formula unit
Calculated formation energy ... 27.8 kJ per mole of atoms

Entry 10:
Computed, not measured: TbBeAlCu6 after structural relaxation at the GGA-PBE level of DFT.

a b c (Å): 7.6990 5.1513 8.1535
angles (deg): 108.41 118.17 90.00
Closest atoms and distances in Å follow each position.
Element x y z (fractional)
1 Cu 0.9984 0.7484 0.9967  10 Cu 2.53-2.60
2 Cu 0.8531 0.1007 0.1841  1 Be 2.36, 5 Cu 2.47-2.60, 1 Al 2.51
3 Cu 0.3310 0.5834 0.1841  1 Be 2.36, 5 Cu 2.47-2.60, 1 Al 2.51
4 Tb 0.2517 0.5017 0.5035  10 Cu 2.98-3.16, 4 Al 3.22
5 Cu 0.1469 0.4166 0.8159  1 Be 2.36, 5 Cu 2.47-2.60, 1 Al 2.51
6 Al 0.0000 0.0000 0.5000  6 Cu 2.46-2.51
7 Cu 0.6690 0.4166 0.8159  1 Be 2.36, 5 Cu 2.47-2.60, 1 Al 2.51
8 Cu 0.3637 0.1137 0.7273  2 Be 2.24, 2 Al 2.46, 4 Cu 2.48
9 Cu 0.8531 0.5834 0.1841  1 Be 2.36, 5 Cu 2.47-2.60, 1 Al 2.51
10 Cu 0.3310 0.1007 0.1841  1 Be 2.36, 5 Cu 2.47-2.60, 1 Al 2.51
11 Cu 0.6690 0.8993 0.8159  1 Be 2.36, 5 Cu 2.47-2.60, 1 Al 2.51
12 Al 0.5000 0.0000 0.5000  6 Cu 2.46-2.51
13 Cu 0.1469 0.8993 0.8159  1 Be 2.36, 5 Cu 2.47-2.60, 1 Al 2.51
14 Be 0.5000 0.0000 0.0000  6 Cu 2.24-2.36
15 Cu 0.0016 0.2516 0.0033  10 Cu 2.53-2.60
16 Be 0.5000 0.5000 0.0000  6 Cu 2.24-2.36
17 Cu 0.6363 0.8863 0.2727  2 Be 2.24, 2 Al 2.46, 4 Cu 2.48
18 Tb 0.7483 0.4983 0.4965  10 Cu 2.98-3.16, 4 Al 3.22

Density of states at the Fermi level ... 0.442 states/eV per atom
M_tot ... 0.000 μB per formula unit
Calculated formation energy ... -5.5 kJ per mole of atoms

Copy entry 6 word for word.
Computed, not measured: Sm2BeAl3Cu12 after structural relaxation at the GGA-PBE level of DFT.

a b c (Å): 9.4689 9.4689 9.4689
angles (deg): 37.98 37.98 37.98
Closest atoms and distances in Å follow each position.
Element x y z (fractional)
1 Cu 0.1846 0.5792 0.5792  2 Al 2.42, 4 Cu 2.43-2.47
2 Al 0.0000 0.5000 0.0000  6 Cu 2.42-2.66
3 Cu 0.0706 0.6596 0.0706  1 Be 2.28, 4 Cu 2.47-2.53
4 Cu 0.6596 0.0706 0.0706  1 Be 2.28, 4 Cu 2.47-2.53
5 Sm 0.6538 0.6538 0.6538  6 Cu 2.96-3.02
6 Cu 0.0706 0.0706 0.6596  1 Be 2.28, 4 Cu 2.47-2.53
7 Cu 0.3404 0.9294 0.9294  1 Be 2.28, 4 Cu 2.47-2.53
8 Cu 0.4208 0.8154 0.4208  2 Al 2.42, 4 Cu 2.43-2.47
9 Cu 0.9294 0.9294 0.3404  1 Be 2.28, 4 Cu 2.47-2.53
10 Cu 0.5792 0.5792 0.1846  2 Al 2.42, 4 Cu 2.43-2.47
11 Cu 0.5792 0.1846 0.5792  2 Al 2.42, 4 Cu 2.43-2.47
12 Cu 0.9294 0.3404 0.9294  1 Be 2.28, 4 Cu 2.47-2.53
13 Sm 0.3462 0.3462 0.3462  6 Cu 2.96-3.02
14 Cu 0.8154 0.4208 0.4208  2 Al 2.42, 4 Cu 2.43-2.47
15 Al 0.5000 0.0000 0.0000  6 Cu 2.42-2.66
16 Al 0.0000 0.0000 0.5000  6 Cu 2.42-2.66
17 Cu 0.4208 0.4208 0.8154  2 Al 2.42, 4 Cu 2.43-2.47
18 Be 0.0000 0.0000 0.0000  6 Cu 2.28

Density of states at the Fermi level ... 0.543 states/eV per atom
M_tot ... 0.000 μB per formula unit
Calculated formation energy ... 8.8 kJ per mole of atoms

- The highest calculated formation energy belongs to which entry?
  Tb2Be3AlCu12

- Which value of density of states at the Fermi level does entry 8 give?
  0.383 states/eV per atom